[1]
The following is a PBE calculation of a geometry-optimized La2Si3Pt4Rh structure, from the Alexandria database.

## Properties
Calculated volume = 18.8 Å³ per atom
E_form (uncorrected) = -0.970 eV/atom

Unit cell a=4.2554 b=4.2554 c=10.3868 alpha=90.00 beta=90.00 gamma=90.00
With the nearest neighbours (Å) after each atom.
Element x y z (fractional)
La: 0.5000 0.0000 0.2577  8 Pt 3.16-3.42, 2 Rh 3.30, 6 Si 3.30-3.31
La: 0.0000 0.5000 0.7423  8 Pt 3.16-3.42, 2 Rh 3.30, 6 Si 3.30-3.31
Si: 0.0000 0.0000 0.5000  4 Pt 2.63
Si: 0.5000 0.0000 0.8762  5 Pt 2.37-2.49
Si: 0.0000 0.5000 0.1238  5 Pt 2.37-2.49
Pt: 0.5000 0.5000 0.0000  4 Si 2.49
Pt: 0.0000 0.0000 0.0000  4 Si 2.49
Pt: 0.5000 0.0000 0.6481  3 Si 2.37-2.63, 2 Rh 2.63
Pt: 0.0000 0.5000 0.3519  3 Si 2.37-2.63, 2 Rh 2.63
Rh: 0.5000 0.5000 0.5000  4 Pt 2.63

***

[2]
The following is a PBE calculation of a geometry-optimized CsCd2CoSn structure, from the Alexandria database.

## Properties
Calculated volume = 27.9 Å³ per atom
E_form = 37.6 meV per atom

Unit cell a=5.3323 b=5.3323 c=4.9035 alpha=90.00 beta=90.00 gamma=90.00
With the nearest neighbours (Å) after each atom.
Element x y z (fractional)
Cs: 0.5000 0.5000 0.5000  8 Cd 3.62, 4 Sn 3.77
Co: 0.0000 0.0000 0.0000  2 Sn 2.45, 4 Cd 2.67
Sn: 0.0000 0.0000 0.5000  2 Co 2.45
Cd: 0.0000 0.5000 0.0000  2 Co 2.67
Cd: 0.5000 0.0000 0.0000  2 Co 2.67

***

[3]
The following is a PBE calculation of a geometry-optimized Mn2MoH structure, from the Alexandria database.

## Properties
Calculated volume = 10.5 Å³ per atom
ΔE to the lowest computed polymorph = 0.000 eV per atom

Unit cell a=4.9363 b=4.9363 c=4.8997 alpha=59.75 beta=59.75 gamma=90.00
With the nearest neighbours (Å) after each atom.
Element x y z (fractional)
H: 0.5000 0.5000 0.0000  4 Mn 1.53
H: 0.2500 0.7500 0.5000  4 Mn 1.53
Mo: 0.0000 0.0000 0.0000  8 Mn 2.66-2.87
Mo: 0.7500 0.2500 0.5000  8 Mn 2.66-2.87
Mn: 0.4301 0.1250 0.2500  2 H 1.53
Mn: 0.3199 0.6250 0.2500  2 H 1.53
Mn: 0.3750 0.5699 0.7500  2 H 1.53
Mn: 0.8750 0.6801 0.7500  2 H 1.53

***

[4]
The following is a PBE calculation of a geometry-optimized AcLaSeI structure, from the Alexandria database.

## Properties
Calculated volume = 33.3 Å³ per atom
E_form (uncorrected) = -1.416 eV/atom

Unit cell a=4.2245 b=4.2372 c=8.9400 alpha=89.99 beta=103.59 gamma=120.10
With the nearest neighbours (Å) after each atom.
Element x y z (fractional)
Ac: 0.4931 0.1445 0.6543  3 Se 3.11
La: 0.1134 0.9547 0.0825  3 Se 3.01
Se: 0.3096 0.5528 0.8779  3 La 3.01, 3 Ac 3.11
I: 0.9617 0.3788 0.3549  3 La 3.38-3.39, 3 Ac 3.55

***

[5]
The following is a PBE calculation of a geometry-optimized Ho5Th4Mg structure, from the Alexandria database.

## Properties
Calculated volume = 30.8 Å³ per atom
E_form = 11.1 meV per atom

Unit cell a=3.5740 b=3.5740 c=24.1352 alpha=90.00 beta=90.00 gamma=90.00
With the nearest neighbours (Å) after each atom.
Element x y z (fractional)
Ho: 0.5000 0.5000 0.0908  4 Mg 3.34, 4 Th 3.48, 4 Ho 3.57
Ho: 0.5000 0.5000 0.2932  8 Th 3.55-3.56, 4 Ho 3.57
Ho: 0.5000 0.5000 0.5000  8 Th 3.55, 4 Ho 3.57
Ho: 0.5000 0.5000 0.7068  8 Th 3.55-3.56, 4 Ho 3.57
Ho: 0.5000 0.5000 0.9092  4 Mg 3.34, 4 Th 3.48, 4 Ho 3.57
Th: 0.0000 0.0000 0.1900  8 Ho 3.48-3.55, 4 Th 3.57
Th: 0.0000 0.0000 0.3969  8 Ho 3.55-3.56, 4 Th 3.57
Th: 0.0000 0.0000 0.6031  8 Ho 3.55-3.56, 4 Th 3.57
Th: 0.0000 0.0000 0.8100  8 Ho 3.48-3.55, 4 Th 3.57
Mg: 0.0000 0.0000 0.0000  8 Ho 3.34, 4 Mg 3.57

***

[6]
The following is a PBE calculation of a geometry-optimized La6TcNi2I3 structure, from the Alexandria database.

## Properties
Calculated volume = 31.6 Å³ per atom
E_form (uncorrected) = -0.704 eV/atom

Unit cell a=7.2652 b=7.2652 c=8.6461 alpha=98.06 beta=98.06 gamma=120.01
With the nearest neighbours (Å) after each atom.
Element x y z (fractional)
La: 0.9380 0.6111 0.8142  1 Tc 2.83, 2 Ni 2.89
La: 0.7350 0.7350 0.1858  1 Tc 2.83, 2 Ni 2.89
La: 0.0620 0.3889 0.1858  1 Tc 2.83, 2 Ni 2.89
La: 0.6111 0.9380 0.8142  1 Tc 2.83, 2 Ni 2.89
La: 0.2650 0.2650 0.8142  1 Tc 2.83, 2 Ni 2.89
La: 0.3889 0.0620 0.1858  1 Tc 2.83, 2 Ni 2.89
Tc: 0.0000 0.0000 0.0000  6 La 2.83
Ni: 0.3332 0.6668 0.0000  6 La 2.89
Ni: 0.6668 0.3332 0.0000  6 La 2.89
I: 0.1652 0.8348 0.5000  6 La 3.53-3.60
I: 0.8348 0.1652 0.5000  6 La 3.53-3.60
I: 0.5000 0.5000 0.5000  6 La 3.54-3.59

***

[7]
The following is a PBE calculation of a geometry-optimized Na3HgPd structure, from the Alexandria database.

## Properties
Calculated volume = 25.7 Å³ per atom
ΔE to the lowest computed polymorph = 0.000 eV per atom
E_form = -147.7 meV per atom

Unit cell a=7.1739 b=7.7486 c=5.7758 alpha=117.02 beta=99.64 gamma=106.72
With the nearest neighbours (Å) after each atom.
Element x y z (fractional)
Na: 0.9532 0.1147 0.3318  2 Pd 3.21-3.30, 3 Hg 3.25-3.49, 5 Na 3.28-3.59
Na: 0.1609 0.4141 0.0698  2 Pd 2.86-2.90, 1 Hg 3.08, 1 Na 3.14
Na: 0.8391 0.5859 0.9302  2 Pd 2.86-2.90, 1 Hg 3.08, 1 Na 3.14
Na: 0.5626 0.3082 0.2595  3 Pd 2.95-3.16, 2 Hg 3.16-3.17
Na: 0.0468 0.8853 0.6682  2 Pd 3.21-3.30, 3 Hg 3.25-3.49, 5 Na 3.28-3.59
Na: 0.4374 0.6918 0.7405  3 Pd 2.95-3.16, 2 Hg 3.16-3.17
Hg: 0.7022 0.0981 0.7448  2 Pd 2.80-2.89, 1 Na 3.08, 1 Hg 3.09
Hg: 0.2978 0.9019 0.2552  2 Pd 2.80-2.89, 1 Na 3.08, 1 Hg 3.09
Pd: 0.5827 0.7047 0.2588  2 Hg 2.80-2.89, 4 Na 2.86-3.04, 1 Pd 2.90
Pd: 0.4173 0.2953 0.7412  2 Hg 2.80-2.89, 4 Na 2.86-3.04, 1 Pd 2.90

***

[8]
The following is a PBE calculation of a geometry-optimized Zr2NbHgH structure, from the Alexandria database.

## Properties
Total energy = -6.345 eV/atom
Calculated volume = 17.0 Å³ per atom

Unit cell a=4.5626 b=4.5626 c=4.0741 alpha=90.00 beta=90.00 gamma=90.00
With the nearest neighbours (Å) after each atom.
Element x y z (fractional)
H: 0.0000 0.0000 0.0000  2 Nb 2.04, 4 Zr 2.28
Nb: 0.0000 0.0000 0.5000  2 H 2.04
Hg: 0.5000 0.5000 0.5000  8 Zr 3.06, 4 Nb 3.23
Zr: 0.0000 0.5000 0.0000  2 H 2.28
Zr: 0.5000 0.0000 0.0000  2 H 2.28